# LiLaPb GGA-PBE relaxed
data_LiLaPb
_space_group_name_H-M_alt 'F -4 3 m'
_space_group_IT_number 216
_space_group_name_Hall 'F -4 2 3'
_cell_length_a 6.932
_cell_length_b 6.932
_cell_length_c 6.932
_cell_angle_alpha 90.00
_cell_angle_beta 90.00
_cell_angle_gamma 90.00
loop_
_atom_site_label
_atom_site_fract_x
_atom_site_fract_y
_atom_site_fract_z
Li1 0.000 0.000 0.000
La1 0.250 0.250 0.250
Pb1 0.250 0.250 0.750
# Uncorrected energy, eV/atom: -3.934
# Formation energy from the elements, eV per formula unit: -1.3